Material: Sr6TeP2I3
Method: DFT, GGA-PBE
State: relaxed

abc: 7.986 7.986 8.265
angles: 99.30 99.30 119.96
Fractional positions:
P1 0.667 0.333 0.000
I1 0.839 0.161 0.500
Sr1 0.710 0.710 0.202
Sr2 0.574 0.932 0.796
Te1 0.000 0.000 0.000
Sr3 0.290 0.290 0.798
Sr4 0.068 0.426 0.204
P2 0.333 0.667 0.000
I2 0.161 0.839 0.500
Sr5 0.426 0.068 0.204
I3 0.500 0.500 0.500
Sr6 0.932 0.574 0.796

## Properties
Its spin magnetization is 0.000 μB per atom. For the total DFT energy (no corrections), the calculation gives -45.975 eV/cell. As for the space-group type: No. 12.